Model A:
{"formula": "VCuRh", "functional": "PBE", "state": "optimized geometry", "cell": [[2.752, 0.000, 0.000], [0.000, 5.445, 0.000], [0.000, 0.000, 11.295]], "species": ["Cu", "Cu", "Cu", "Cu", "Rh", "Rh", "Rh", "Rh", "V", "V", "V", "V"], "fractional_positions": [[0.249, 0.000, 0.877], [0.751, 0.000, 0.377], [0.749, 0.500, 0.377], [0.251, 0.500, 0.877], [0.750, 0.750, 0.712], [0.250, 0.250, 0.212], [0.750, 0.250, 0.712], [0.250, 0.750, 0.212], [0.249, 0.500, 0.565], [0.751, 0.500, 0.065], [0.251, 0.000, 0.565], [0.749, 0.000, 0.065]], "crystal_system": "orthorhombic"}

Model B:
{"formula": "VCuRh", "functional": "PBE", "state": "optimized geometry", "cell": [[3.122, 0.000, 0.000], [0.000, 3.122, 0.000], [-1.561, -1.561, 4.110]], "species": ["V", "Cu", "Rh"], "fractional_positions": [[0.286, 0.286, 0.572], [0.620, 0.620, 0.240], [0.944, 0.944, 0.888]], "crystal_system": "tetragonal"}

Model C:
{"formula": "VCuRh", "functional": "PBE", "state": "optimized geometry", "cell": [[-0.166, 2.633, 0.409], [-4.909, -1.660, -0.016], [-1.154, -1.063, 6.381]], "species": ["Rh", "Rh", "V", "V", "Cu", "Cu"], "fractional_positions": [[0.967, 0.933, 0.801], [0.033, 0.067, 0.199], [0.860, 0.720, 0.507], [0.140, 0.280, 0.493], [0.227, 0.454, 0.842], [0.773, 0.546, 0.158]], "crystal_system": "monoclinic"}

Model D:
{"formula": "VCuRh", "functional": "PBE", "state": "optimized geometry", "cell": [[-1.744, 1.644, -1.162], [-3.151, -2.174, 1.655], [1.639, 3.216, 2.089]], "species": ["Rh", "V", "Cu"], "fractional_positions": [[0.727, 0.333, 0.667], [0.960, 0.000, 0.000], [0.313, 0.667, 0.333]], "crystal_system": "trigonal"}

Which one is most stable, and which one is least stable? model B is the most stable of them, while model C is the least stable.

Model A:
{"formula": "VCu2Rh2", "functional": "PBE", "state": "optimized geometry", "cell": [[6.823, 0.000, 0.000], [0.000, 6.823, 0.000], [0.000, 0.000, 2.925]], "species": ["Cu", "Cu", "Cu", "Cu", "Rh", "Rh", "Rh", "Rh", "V", "V"], "fractional_positions": [[0.872, 0.628, 0.000], [0.128, 0.372, 0.000], [0.372, 0.872, 0.000], [0.628, 0.128, 0.000], [0.829, 0.329, 0.500], [0.329, 0.171, 0.500], [0.671, 0.829, 0.500], [0.171, 0.671, 0.500], [0.000, 0.000, 0.000], [0.500, 0.500, 0.000]], "crystal_system": "tetragonal"}

Model B:
{"formula": "VCu2Rh2", "functional": "PBE", "state": "optimized geometry", "cell": [[-3.906, -2.633, 0.368], [1.908, 0.759, -4.649], [3.525, -4.764, 3.338]], "species": ["Cu", "Cu", "Cu", "Cu", "V", "V", "Rh", "Rh", "Rh", "Rh"], "fractional_positions": [[0.959, 0.200, 0.446], [0.041, 0.800, 0.554], [0.241, 0.200, 0.946], [0.759, 0.800, 0.054], [0.356, 0.000, 0.250], [0.644, 0.000, 0.750], [0.458, 0.628, 0.356], [0.542, 0.372, 0.644], [0.170, 0.628, 0.856], [0.830, 0.372, 0.144]], "crystal_system": "monoclinic"}

Which one is most stable, and which one is least stable? model B is the most stable of them, while model A is the least stable.

Model A:
{"formula": "V2CuRh3", "functional": "PBE", "state": "optimized geometry", "cell": [[3.532, 0.000, 0.000], [0.000, 3.748, -1.267], [0.000, -0.001, 6.173]], "species": ["Rh", "Rh", "Rh", "V", "V", "Cu"], "fractional_positions": [[0.500, 0.832, 0.663], [0.500, 0.168, 0.337], [0.500, 0.500, 0.000], [0.000, 0.666, 0.331], [0.000, 0.334, 0.669], [0.000, 0.000, 0.000]], "crystal_system": "orthorhombic"}

Model B:
{"formula": "V2CuRh3", "functional": "PBE", "state": "optimized geometry", "cell": [[-3.710, -2.176, 1.252], [3.040, -4.531, 1.130], [0.019, 4.774, 5.359]], "species": ["Rh", "Rh", "Rh", "Rh", "Rh", "Rh", "V", "V", "V", "V", "Cu", "Cu"], "fractional_positions": [[0.801, 0.073, 0.647], [0.199, 0.427, 0.353], [0.199, 0.927, 0.353], [0.500, 0.250, 0.000], [0.801, 0.573, 0.647], [0.500, 0.750, 0.000], [0.698, 0.159, 0.318], [0.698, 0.659, 0.318], [0.302, 0.341, 0.682], [0.302, 0.841, 0.682], [0.000, 0.500, 0.000], [0.000, 0.000, 0.000]], "crystal_system": "monoclinic"}

Which one is most stable, and which one is least stable? model A is the most stable of them, while model B is the least stable.

Model A:
{"formula": "Cu2RhW2", "functional": "PBE", "state": "optimized geometry", "cell": [[7.506, 0.000, 0.000], [0.000, 7.506, 0.000], [0.000, 0.000, 2.667]], "species": ["Cu", "Cu", "Cu", "Cu", "W", "W", "W", "W", "Rh", "Rh"], "fractional_positions": [[0.327, 0.173, 0.500], [0.673, 0.827, 0.500], [0.173, 0.673, 0.500], [0.827, 0.327, 0.500], [0.377, 0.877, 0.000], [0.877, 0.623, 0.000], [0.123, 0.377, 0.000], [0.623, 0.123, 0.000], [0.500, 0.500, 0.000], [0.000, 0.000, 0.000]], "crystal_system": "tetragonal"}

Model B:
{"formula": "Cu2RhW2", "functional": "PBE", "state": "optimized geometry", "cell": [[3.366, 0.000, 0.000], [0.000, 3.366, 0.000], [1.683, 1.683, 6.821]], "species": ["W", "W", "Cu", "Cu", "Rh"], "fractional_positions": [[0.592, 0.592, 0.817], [0.408, 0.408, 0.183], [0.250, 0.750, 0.500], [0.750, 0.250, 0.500], [0.000, 0.000, 0.000]], "crystal_system": "tetragonal"}

Which one is most stable, and which one is least stable? model A is the most stable of them, while model B is the least stable.

Model A:
{"formula": "YCu2Rh", "functional": "PBE", "state": "optimized geometry", "cell": [[-4.584, 0.382, 1.700], [-0.621, -3.346, 3.531], [3.490, 3.382, -0.656]], "species": ["Cu", "Cu", "Y", "Rh"], "fractional_positions": [[0.000, 0.000, 0.000], [0.750, 0.250, 0.500], [0.250, 0.750, 0.500], [0.500, 0.500, 0.000]], "crystal_system": "tetragonal"}

Model B:
{"formula": "YCu2Rh", "functional": "PBE", "state": "optimized geometry", "cell": [[-1.207, 2.427, -2.020], [-0.309, -2.243, -2.510], [-5.423, -1.228, 1.765]], "species": ["Cu", "Cu", "Rh", "Y"], "fractional_positions": [[0.500, 0.500, 0.240], [0.000, 0.000, 0.043], [0.000, 0.000, 0.475], [0.500, 0.500, 0.741]], "crystal_system": "tetragonal"}

Model C:
{"formula": "YCu2Rh", "functional": "PBE", "state": "optimized geometry", "cell": [[3.478, -0.021, 0.000], [0.021, 3.478, 0.000], [0.000, 0.000, 5.482]], "species": ["Cu", "Cu", "Y", "Rh"], "fractional_positions": [[0.000, 0.000, 0.472], [0.000, 0.000, 0.028], [0.500, 0.500, 0.750], [0.500, 0.500, 0.250]], "crystal_system": "tetragonal"}

Which one is most stable, and which one is least stable? model A is the most stable of them, while model C is the least stable.

Model A:
{"formula": "YCu2Rh", "functional": "PBE", "state": "optimized geometry", "cell": [[5.054, -0.012, -0.017], [3.553, 3.594, -0.017], [1.526, 0.635, 3.543]], "species": ["Cu", "Cu", "Rh", "Y"], "fractional_positions": [[0.500, 0.500, 0.500], [0.000, 0.000, 0.000], [0.250, 0.250, 0.250], [0.750, 0.750, 0.750]], "crystal_system": "tetragonal"}

Model B:
{"formula": "YCu2Rh", "functional": "PBE", "state": "optimized geometry", "cell": [[-0.849, 4.469, -0.104], [-0.828, 2.067, -3.968], [-4.189, 1.498, -0.954]], "species": ["Cu", "Cu", "Rh", "Y"], "fractional_positions": [[0.000, 0.000, 0.000], [0.250, 0.250, 0.250], [0.500, 0.500, 0.500], [0.750, 0.750, 0.750]], "crystal_system": "cubic"}

Model C:
{"formula": "YCu2Rh", "functional": "PBE", "state": "optimized geometry", "cell": [[-4.437, 4.035, -6.829], [-4.099, 1.345, -8.000], [-6.373, 1.896, -6.197]], "species": ["Cu", "Cu", "Y", "Rh"], "fractional_positions": [[0.508, 0.508, 0.508], [0.992, 0.992, 0.992], [0.750, 0.750, 0.750], [0.250, 0.250, 0.250]], "crystal_system": "trigonal"}

Model D:
{"formula": "YCu2Rh", "functional": "PBE", "state": "optimized geometry", "cell": [[-3.176, -0.194, 3.223], [-4.239, -1.187, -1.066], [-1.633, -4.009, 1.333]], "species": ["Y", "Cu", "Cu", "Rh"], "fractional_positions": [[0.000, 0.000, 0.000], [0.750, 0.750, 0.750], [0.250, 0.250, 0.250], [0.500, 0.500, 0.500]], "crystal_system": "cubic"}

Which one is most stable, and which one is least stable? model A is the most stable of them, while model C is the least stable.

Model A:
{"formula": "YCu2Rh", "functional": "PBE", "state": "optimized geometry", "cell": [[-3.371, 1.471, 1.451], [-1.862, -3.366, -0.914], [-0.497, -4.411, 8.706]], "species": ["Cu", "Cu", "Cu", "Cu", "Rh", "Rh", "Y", "Y"], "fractional_positions": [[0.875, 0.961, 0.750], [0.039, 0.625, 0.250], [0.711, 0.125, 0.250], [0.375, 0.289, 0.750], [0.000, 0.000, 0.000], [0.750, 0.250, 0.500], [0.500, 0.500, 0.000], [0.250, 0.750, 0.500]], "crystal_system": "tetragonal"}

Model B:
{"formula": "YCu2Rh", "functional": "PBE", "state": "optimized geometry", "cell": [[3.976, 0.000, 0.000], [0.000, 3.976, 0.000], [0.000, 0.000, 4.110]], "species": ["Y", "Cu", "Cu", "Rh"], "fractional_positions": [[0.000, 0.500, 0.500], [0.500, 0.500, 0.000], [0.000, 0.000, 0.000], [0.500, 0.000, 0.500]], "crystal_system": "tetragonal"}

Model C:
{"formula": "YCu2Rh", "functional": "PBE", "state": "optimized geometry", "cell": [[5.175, 0.008, 0.005], [3.441, 3.865, 0.005], [3.441, 1.547, 3.542]], "species": ["Rh", "Cu", "Cu", "Y"], "fractional_positions": [[0.539, 0.539, 0.539], [0.258, 0.258, 0.258], [0.953, 0.953, 0.953], [0.749, 0.749, 0.749]], "crystal_system": "trigonal"}

Which one is most stable, and which one is least stable? model B is the most stable of them, while model A is the least stable.

Model A:
{"formula": "Y2CuRh2", "functional": "PBE", "state": "optimized geometry", "cell": [[7.947, 0.000, 0.000], [0.000, 7.947, 0.000], [0.000, 0.000, 3.283]], "species": ["Rh", "Rh", "Rh", "Rh", "Y", "Y", "Y", "Y", "Cu", "Cu"], "fractional_positions": [[0.642, 0.858, 0.500], [0.358, 0.142, 0.500], [0.142, 0.642, 0.500], [0.858, 0.358, 0.500], [0.156, 0.344, 0.000], [0.844, 0.656, 0.000], [0.656, 0.156, 0.000], [0.344, 0.844, 0.000], [0.500, 0.500, 0.000], [0.000, 0.000, 0.000]], "crystal_system": "tetragonal"}

Model B:
{"formula": "Y2CuRh2", "functional": "PBE", "state": "optimized geometry", "cell": [[-1.965, 6.103, -3.010], [2.938, -2.066, -6.105], [-3.437, -1.647, -1.096]], "species": ["Rh", "Rh", "Rh", "Rh", "Y", "Y", "Y", "Y", "Cu", "Cu"], "fractional_positions": [[0.863, 0.637, 0.000], [0.363, 0.863, 0.000], [0.137, 0.363, 0.000], [0.637, 0.137, 0.000], [0.671, 0.829, 0.500], [0.829, 0.329, 0.500], [0.329, 0.171, 0.500], [0.171, 0.671, 0.500], [0.000, 0.000, 0.000], [0.500, 0.500, 0.000]], "crystal_system": "tetragonal"}

Which one is most stable, and which one is least stable? model B is the most stable of them, while model A is the least stable.

Model A:
{"formula": "Y2CuRh2", "functional": "PBE", "state": "optimized geometry", "cell": [[3.828, 0.004, 1.628], [1.378, 4.823, 2.061], [-0.044, 0.261, 5.417]], "species": ["Rh", "Rh", "Y", "Y", "Cu"], "fractional_positions": [[0.000, 0.234, 0.266], [0.000, 0.766, 0.734], [0.295, 0.205, 0.705], [0.705, 0.795, 0.295], [0.500, 0.500, 0.000]], "crystal_system": "orthorhombic"}

Model B:
{"formula": "Y2CuRh2", "functional": "PBE", "state": "optimized geometry", "cell": [[-1.450, -3.360, -0.763], [0.790, -1.129, 3.475], [-7.262, 0.208, 3.728]], "species": ["Rh", "Rh", "Y", "Y", "Cu"], "fractional_positions": [[0.250, 0.750, 0.500], [0.750, 0.250, 0.500], [0.610, 0.610, 0.779], [0.390, 0.390, 0.221], [0.000, 0.000, 0.000]], "crystal_system": "tetragonal"}

Model C:
{"formula": "Y2CuRh2", "functional": "PBE", "state": "optimized geometry", "cell": [[-5.079, -0.512, 1.675], [2.236, -4.179, -3.112], [2.479, -1.375, 7.095]], "species": ["Y", "Y", "Y", "Y", "Rh", "Rh", "Rh", "Rh", "Cu", "Cu"], "fractional_positions": [[0.209, 0.704, 0.349], [0.495, 0.704, 0.849], [0.505, 0.296, 0.151], [0.791, 0.296, 0.651], [0.734, 0.742, 0.496], [0.008, 0.742, 0.996], [0.266, 0.258, 0.504], [0.992, 0.258, 0.004], [0.825, 0.000, 0.250], [0.175, 0.000, 0.750]], "crystal_system": "monoclinic"}

Which one is most stable, and which one is least stable? model A is the most stable of them, while model B is the least stable.

Model A:
{"formula": "YCu3Rh", "functional": "PBE", "state": "optimized geometry", "cell": [[-3.321, -2.907, -1.395], [2.843, -1.696, -3.235], [1.521, -3.178, 3.002]], "species": ["Cu", "Cu", "Cu", "Rh", "Y"], "fractional_positions": [[0.000, 0.500, 0.000], [0.500, 0.000, 0.000], [0.000, 0.000, 0.500], [0.000, 0.000, 0.000], [0.500, 0.500, 0.500]], "crystal_system": "cubic"}

Model B:
{"formula": "YCu3Rh", "functional": "PBE", "state": "optimized geometry", "cell": [[-0.053, 1.046, 4.695], [4.544, -1.528, 0.392], [1.577, 4.440, -0.971]], "species": ["Cu", "Cu", "Cu", "Y", "Rh"], "fractional_positions": [[0.500, 0.000, 0.000], [0.000, 0.000, 0.500], [0.000, 0.500, 0.000], [0.000, 0.000, 0.000], [0.500, 0.500, 0.500]], "crystal_system": "cubic"}

Which one is most stable, and which one is least stable? model A is the most stable of them, while model B is the least stable.